Entry 1:
The following is a PBE-GGA calculation of a geometry-optimized CdMoIr2 structure, from the Alexandria database.

Values from the calculation:
Formation energy, eV/atom: 0.154
Uncorrected energy, eV for the cell shown: -28.85
Total magnetic moment, μB per cell: 0.00
Space-group type: Cmmm
Volume, A^3/atom: 15.955

The structure in POSCAR format:
```
CdMoIr2
1.0
2.907 -3.865 0.000
2.907 3.865 0.000
0.000 0.000 2.840
Cd Mo Ir
1 1 2
Direct
0.000 0.000 0.000
0.500 0.500 0.000
0.000 0.500 0.500
0.500 0.000 0.500
```

Entry 2:
The following is a PBE-GGA calculation of a geometry-optimized CdMoIr structure, from the Alexandria database.

Values from the calculation:
Formation energy, eV/atom: 0.111
Uncorrected energy, eV for the cell shown: -20.27
Total magnetic moment, μB per cell: 0.00
Polymorph energy (0 for the lowest one), eV per atom: 0.0799
Space-group type: P3m1
Volume, A^3/atom: 16.722

The structure in POSCAR format:
```
CdMoIr
1.0
2.841 0.000 0.000
-1.420 2.460 0.000
0.000 0.000 7.177
Cd Mo Ir
1 1 1
Direct
0.000 0.000 0.000
0.333 0.667 0.643
0.667 0.333 0.352
```

Entry 3:
The following is a PBE-GGA calculation of a geometry-optimized CdMoIr structure, from the Alexandria database.

Values from the calculation:
Formation energy, eV/atom: 0.411
Uncorrected energy, eV for the cell shown: -19.38
Total magnetic moment, μB per cell: 0.00
Polymorph energy (0 for the lowest one), eV per atom: 0.3797
Space-group type: F-43m
Volume, A^3/atom: 19.377

The structure in POSCAR format:
```
CdMoIr
1.0
0.000 3.075 3.075
3.075 0.000 3.075
3.075 3.075 0.000
Cd Mo Ir
1 1 1
Direct
0.000 0.000 0.000
0.500 0.500 0.500
0.250 0.250 0.250
```

Entry 4:
The following is a PBE-GGA calculation of a geometry-optimized CdMoIr2 structure, from the Alexandria database.

Values from the calculation:
Formation energy, eV/atom: 0.110
Uncorrected energy, eV for the cell shown: -29.03
Total magnetic moment, μB per cell: 0.00
Space-group type: Cm
Volume, A^3/atom: 16.069

The structure in POSCAR format:
```
CdMoIr2
1.0
4.776 -1.411 0.000
4.776 1.411 0.000
-0.922 0.000 4.770
Cd Mo Ir
1 1 2
Direct
0.000 0.000 0.000
0.770 0.770 0.313
0.244 0.244 0.786
0.513 0.513 0.498
```

Entry 5:
The following is a PBE-GGA calculation of a geometry-optimized Cd4MoIr structure, from the Alexandria database.

Values from the calculation:
Formation energy, eV/atom: 0.658
Uncorrected energy, eV for the cell shown: -19.41
Total magnetic moment, μB per cell: 2.99
Space-group type: F-43m
Volume, A^3/atom: 19.145

The structure in POSCAR format:
```
Cd4MoIr
1.0
0.000 3.858 3.858
3.858 0.000 3.858
3.858 3.858 0.000
Cd Mo Ir
4 1 1
Direct
0.125 0.125 0.125
0.125 0.125 0.626
0.125 0.626 0.125
0.626 0.125 0.125
0.500 0.500 0.500
0.750 0.750 0.750
```

Entry 6:
The following is a PBE-GGA calculation of a geometry-optimized CdMo2Ir structure, from the Alexandria database.

Values from the calculation:
Formation energy, eV/atom: 0.099
Uncorrected energy, eV for the cell shown: -31.04
Total magnetic moment, μB per cell: 0.00
Space-group type: P4/mmm
Volume, A^3/atom: 16.370

The structure in POSCAR format:
```
CdMo2Ir
1.0
2.790 0.000 0.000
0.000 2.790 0.000
0.000 0.000 8.410
Cd Mo Ir
1 2 1
Direct
0.000 0.000 0.000
0.500 0.500 0.271
0.500 0.500 0.729
0.000 0.000 0.500
```

Entry 7:
The following is a PBE-GGA calculation of a geometry-optimized CdMoIr2 structure, from the Alexandria database.

Values from the calculation:
Formation energy, eV/atom: 0.112
Uncorrected energy, eV for the cell shown: -29.02
Total magnetic moment, μB per cell: 0.03
Space-group type: I4/mmm
Volume, A^3/atom: 15.877

The structure in POSCAR format:
```
CdMoIr2
1.0
-2.031 2.031 3.848
2.031 -2.031 3.848
2.031 2.031 -3.848
Cd Mo Ir
1 1 2
Direct
0.000 0.000 0.000
0.500 0.500 0.000
0.250 0.750 0.500
0.750 0.250 0.500
```

Entry 8:
The following is a PBE-GGA calculation of a geometry-optimized CdMoIr structure, from the Alexandria database.

Values from the calculation:
Formation energy, eV/atom: 0.261
Uncorrected energy, eV for the cell shown: -19.82
Total magnetic moment, μB per cell: 0.00
Polymorph energy (0 for the lowest one), eV per atom: 0.2299
Space-group type: Fmm2
Volume, A^3/atom: 16.883

The structure in POSCAR format:
```
CdMoIr
1.0
0.000 2.343 7.246
1.492 0.000 7.246
1.492 2.343 0.000
Cd Mo Ir
1 1 1
Direct
0.000 0.000 0.000
0.322 0.322 0.678
0.674 0.674 0.326
```

Entry 9:
The following is a PBE-GGA calculation of a geometry-optimized CdMo2Ir structure, from the Alexandria database.

Values from the calculation:
Formation energy, eV/atom: 0.252
Uncorrected energy, eV for the cell shown: -30.43
Total magnetic moment, μB per cell: 0.00
Space-group type: C2/m
Volume, A^3/atom: 16.522

The structure in POSCAR format:
```
CdMo2Ir
1.0
4.874 -1.493 0.000
4.874 1.493 0.000
-1.110 0.000 4.542
Cd Mo Ir
1 2 1
Direct
0.000 0.000 0.000
0.239 0.239 0.721
0.761 0.761 0.279
0.500 0.500 0.500
```

Entry 10:
The following is a PBE-GGA calculation of a geometry-optimized CdMoIr2 structure, from the Alexandria database.

Values from the calculation:
Formation energy, eV/atom: 0.154
Uncorrected energy, eV for the cell shown: -28.85
Total magnetic moment, μB per cell: 0.00
Space-group type: C2/m
Volume, A^3/atom: 16.012

The structure in POSCAR format:
```
CdMoIr2
1.0
4.643 -1.397 0.000
4.643 1.397 0.000
-0.823 0.000 4.938
Cd Mo Ir
1 1 2
Direct
0.000 0.000 0.000
0.500 0.500 0.500
0.244 0.244 0.729
0.756 0.756 0.271
```

Entry 11:
The following is a PBE-GGA calculation of a geometry-optimized CdMo2Ir structure, from the Alexandria database.

Values from the calculation:
Formation energy, eV/atom: 0.271
Uncorrected energy, eV for the cell shown: -30.35
Total magnetic moment, μB per cell: 0.00
Space-group type: P4mm
Volume, A^3/atom: 16.820

The structure in POSCAR format:
```
CdMo2Ir
1.0
3.190 0.000 0.000
0.000 3.190 0.000
0.000 0.000 6.611
Cd Mo Ir
1 2 1
Direct
0.000 0.000 0.000
0.000 0.000 0.506
0.500 0.500 0.712
0.500 0.500 0.266
```

Entry 12:
The following is a PBE-GGA calculation of a geometry-optimized CdMo2Ir structure, from the Alexandria database.

Values from the calculation:
Formation energy, eV/atom: 0.109
Uncorrected energy, eV for the cell shown: -31.00
Total magnetic moment, μB per cell: 0.00
Space-group type: P4mm
Volume, A^3/atom: 16.614

The structure in POSCAR format:
```
CdMo2Ir
1.0
2.807 0.000 0.000
0.000 2.807 0.000
0.000 0.000 8.435
Cd Mo Ir
1 2 1
Direct
0.000 0.000 0.000
0.000 0.000 0.467
0.500 0.500 0.727
0.500 0.500 0.261
```